First-principles (PBE) data for crystalline La4Fe at its relaxed geometry, as listed in Alexandria via LeMat-Bulk.

Geometry as POSCAR:
```
La4Fe
1.0
5.4726 0.0000 0.0000
0.0000 5.4726 0.0000
0.0000 0.0000 5.4726
La Fe
4 1
Direct
0.0000 0.0000 0.0000
0.0000 0.5000 0.5000
0.5000 0.0000 0.5000
0.5000 0.5000 0.0000
0.5000 0.5000 0.5000
```

## Properties
Total magnetic moment ... 0.000 μB per cell
ΔE_f ... 0.6 eV/f.u.
N(E_F) ... 9.46 states/eV per cell
ρ ... 6.19 g/cm³
Uncorrected energy ... -5.5140 eV/atom

***

First-principles (PBE) data for crystalline Li2LaFe at its relaxed geometry, as listed in Alexandria via LeMat-Bulk.

Geometry as POSCAR:
```
Li2LaFe
1.0
3.3025 0.0000 0.0000
0.0000 3.3025 0.0000
0.0000 0.0000 7.3826
Li La Fe
2 1 1
Direct
0.0000 0.0000 0.1783
0.0000 0.0000 0.8217
0.5000 0.5000 0.5000
0.5000 0.5000 0.0000
```

## Properties
Total magnetic moment ... 2.981 μB per cell
ΔE_f ... 1.7 eV/f.u.
N(E_F) ... 4.06 states/eV per cell
ρ ... 4.30 g/cm³
Uncorrected energy ... -3.8716 eV/atom

***

First-principles (PBE) data for crystalline Li2LaFe at its relaxed geometry, as listed in Alexandria via LeMat-Bulk.

Geometry as POSCAR:
```
Li2LaFe
1.0
2.6459 -4.7997 0.0000
2.6459 4.7997 0.0000
0.0000 0.0000 3.0182
Li La Fe
2 1 1
Direct
0.0000 0.5000 0.0000
0.5000 0.0000 0.0000
0.0000 0.0000 0.5000
0.5000 0.5000 0.5000
```

## Properties
Total magnetic moment ... 1.635 μB per cell
ΔE_f ... 1.8 eV/f.u.
N(E_F) ... 3.82 states/eV per cell
ρ ... 4.52 g/cm³
Uncorrected energy ... -3.8514 eV/atom

***

First-principles (PBE) data for crystalline Li2LaFe at its relaxed geometry, as listed in Alexandria via LeMat-Bulk.

Geometry as POSCAR:
```
Li2LaFe
1.0
2.4012 -2.4056 0.0000
2.4012 2.4056 0.0000
0.0000 0.0000 7.3086
Li La Fe
2 1 1
Direct
0.0000 0.0000 0.0000
0.5000 0.5000 0.1985
0.5000 0.5000 0.6289
0.0000 0.0000 0.3789
```

## Properties
Total magnetic moment ... 1.952 μB per cell
ΔE_f ... 1.1 eV/f.u.
N(E_F) ... 5.15 states/eV per cell
ρ ... 4.10 g/cm³
Uncorrected energy ... -4.0256 eV/atom

***

First-principles (PBE) data for crystalline Li2LaFe at its relaxed geometry, as listed in Alexandria via LeMat-Bulk.

Geometry as POSCAR:
```
Li2LaFe
1.0
3.3189 0.0000 0.0000
0.0000 5.3058 0.0000
-0.5587 0.0000 4.6281
Li La Fe
2 1 1
Direct
0.2005 0.0000 0.2958
0.7995 0.0000 0.7042
0.5000 0.5000 0.0000
0.0000 0.5000 0.5000
```

## Properties
Total magnetic moment ... 1.641 μB per cell
ΔE_f ... 1.2 eV/f.u.
N(E_F) ... 3.87 states/eV per cell
ρ ... 4.25 g/cm³
Uncorrected energy ... -4.0133 eV/atom

***

First-principles (PBE) data for crystalline LiLa2Fe at its relaxed geometry, as listed in Alexandria via LeMat-Bulk.

Geometry as POSCAR:
```
LiLa2Fe
1.0
-1.7226 2.4340 6.0293
1.7226 -2.4340 6.0293
1.7226 2.4340 -6.0293
Li La Fe
1 2 1
Direct
0.0000 0.0000 0.0000
0.3312 0.8312 0.5000
0.6360 0.6360 0.0000
0.8167 0.3167 0.5000
```

## Properties
Total magnetic moment ... 0.820 μB per cell
ΔE_f ... 1.0 eV/f.u.
N(E_F) ... 4.98 states/eV per cell
ρ ... 5.59 g/cm³
Uncorrected energy ... -4.8138 eV/atom

***

Copy entry 1 word for word.
First-principles (PBE) data for crystalline La4Fe at its relaxed geometry, as listed in Alexandria via LeMat-Bulk.

Geometry as POSCAR:
```
La4Fe
1.0
5.4726 0.0000 0.0000
0.0000 5.4726 0.0000
0.0000 0.0000 5.4726
La Fe
4 1
Direct
0.0000 0.0000 0.0000
0.0000 0.5000 0.5000
0.5000 0.0000 0.5000
0.5000 0.5000 0.0000
0.5000 0.5000 0.5000
```

## Properties
Total magnetic moment ... 0.000 μB per cell
ΔE_f ... 0.6 eV/f.u.
N(E_F) ... 9.46 states/eV per cell
ρ ... 6.19 g/cm³
Uncorrected energy ... -5.5140 eV/atom